# 1
A plane-wave DFT calculation with PBE-GGA was carried out for a relaxed structure of AlAg3F.

Unit cell a=4.5988 b=4.5988 c=4.5988 alpha=90.00 beta=90.00 gamma=90.00
With the nearest neighbours (Å) after each atom.
Space group Pm-3m (No. 221)
Asymmetric unit:
1 Al 0.0000 0.0000 0.0000 [1 per cell]  12 Ag 3.25
2 Ag 0.0000 0.5000 0.5000 [3 per cell]  2 F 2.30
3 F 0.5000 0.5000 0.5000 [1 per cell]  6 Ag 2.30

Distance to the lowest polymorph of the same formula ... 0 meV per atom
Total energy ... -2.797 eV per atom
Raw formation energy ... 18 kJ/mol of formula units
Spin magnetization ... 0.000 μB per cell

# 2
A plane-wave DFT calculation with PBE-GGA was carried out for a relaxed structure of LiCd3Pd2.

Unit cell a=3.2910 b=3.2910 c=9.7215 alpha=90.00 beta=90.00 gamma=90.00
With the nearest neighbours (Å) after each atom.
Space group P4/mmm (No. 123)
Asymmetric unit:
1 Li 0.0000 0.0000 0.0000 [1 per cell]  8 Cd 2.83
2 Cd 0.5000 0.5000 0.1648 [2 per cell]  4 Li 2.83, 4 Pd 2.84
3 Cd 0.5000 0.5000 0.5000 [1 per cell]  8 Pd 2.84
4 Pd 0.0000 0.0000 0.3317 [2 per cell]  8 Cd 2.84

Distance to the lowest polymorph of the same formula ... 0 meV per atom
Energy of formation from the pure elements ... -357 meV/atom
Total energy ... -2.865 eV per atom
Spin magnetization ... 0.000 μB per cell

# 3
A plane-wave DFT calculation with PBE-GGA was carried out for a relaxed structure of K3Pm2DyO6.

Unit cell a=6.1817 b=10.7081 c=6.6182 alpha=90.00 beta=108.14 gamma=90.00
With the nearest neighbours (Å) after each atom.
Space group C2/m (No. 12)
Asymmetric unit:
1 K 0.0000 0.0000 0.0000 [2 per cell]  6 O 2.83-2.88
2 K 0.0000 0.3348 0.0000 [4 per cell]  6 O 2.82-2.89
3 Pm 0.0000 0.1667 0.5000 [4 per cell]  6 O 2.40
4 Dy 0.0000 0.5000 0.5000 [2 per cell]  6 O 2.33
5 O 0.2255 0.3373 0.6883 [8 per cell]  1 Dy 2.33, 2 Pm 2.40
6 O 0.2373 0.0000 0.6879 [4 per cell]  1 Dy 2.33, 2 Pm 2.40

Total energy ... -6.612 eV per atom
Raw formation energy ... -3107 kJ/mol of formula units
Spin magnetization ... 0.000 μB per cell

# 4
A plane-wave DFT calculation with PBE-GGA was carried out for a relaxed structure of Ac7Pr2Tm2.

Unit cell a=7.2681 b=12.8747 c=10.1078 alpha=90.00 beta=90.00 gamma=90.00
With the nearest neighbours (Å) after each atom.
Space group Cmmm (No. 65)
Asymmetric unit:
1 Ac 0.0000 0.0000 0.0000 [2 per cell]  2 Tm 3.47
2 Ac 0.0000 0.5000 0.1851 [4 per cell]  2 Tm 3.50, 2 Pr 3.68, 5 Ac 3.74-3.90
3 Ac 0.2500 0.2500 0.3087 [8 per cell]  2 Tm 3.62, 5 Ac 3.63-3.90, 2 Pr 3.75
4 Pr 0.2466 0.0000 0.5000 [4 per cell]  2 Pr 3.59-3.68, 6 Ac 3.68-3.75
5 Tm 0.0000 0.2699 0.0000 [4 per cell]  7 Ac 3.47-3.62, 2 Tm 3.67

Energy of formation from the pure elements ... 327 meV/atom
Total energy ... -3.969 eV per atom
Spin magnetization ... 0.000 μB per cell

# 5
A plane-wave DFT calculation with PBE-GGA was carried out for a relaxed structure of MnHgS3.

Unit cell a=4.5074 b=4.5074 c=4.5074 alpha=90.00 beta=90.00 gamma=90.00
With the nearest neighbours (Å) after each atom.
Space group Pm-3m (No. 221)
Asymmetric unit:
1 Mn 0.0000 0.0000 0.0000 [1 per cell]  6 S 2.25
2 Hg 0.5000 0.5000 0.5000 [1 per cell]  12 S 3.19
3 S 0.0000 0.0000 0.5000 [3 per cell]  2 Mn 2.25

Distance to the lowest polymorph of the same formula ... 0 meV per atom
Total energy ... -4.060 eV per atom
Raw formation energy ... 150 kJ/mol of formula units
Spin magnetization ... 0.000 μB per cell

# 6
A plane-wave DFT calculation with PBE-GGA was carried out for a relaxed structure of Ba5P.

Unit cell a=10.7047 b=10.7047 c=10.7047 alpha=90.00 beta=90.00 gamma=90.00
With the nearest neighbours (Å) after each atom.
Space group F-43m (No. 216)
Asymmetric unit:
1 Ba 0.0000 0.0000 0.0000 [4 per cell]  12 Ba 4.44, 4 P 4.64
2 Ba 0.1230 0.1230 0.6230 [16 per cell]  6 Ba 3.73-3.84
3 P 0.2500 0.2500 0.2500 [4 per cell]  16 Ba 4.43-4.64

Distance to the lowest polymorph of the same formula ... 730 meV per atom
Energy of formation from the pure elements ... 419 meV/atom
Total energy ... -2.085 eV per atom
Spin magnetization ... 1.042 μB per cell

# 7
A plane-wave DFT calculation with PBE-GGA was carried out for a relaxed structure of NiHg2.

Unit cell a=3.0010 b=3.0566 c=6.3761 alpha=90.00 beta=103.10 gamma=90.00
With the nearest neighbours (Å) after each atom.
Space group P2/m (No. 10)
Asymmetric unit:
1 Ni 0.0000 0.0000 0.0000 [1 per cell]  8 Hg 2.76-2.77, 4 Ni 3.00-3.06
2 Hg 0.3624 0.5000 0.7185 [2 per cell]  4 Ni 2.76-2.77, 5 Hg 3.00-3.08

Energy of formation from the pure elements ... 219 meV/atom
Total energy ... -1.910 eV per atom
Spin magnetization ... 0.000 μB per cell

# 8
A plane-wave DFT calculation with PBE-GGA was carried out for a relaxed structure of RbLa3I.

Unit cell a=6.1573 b=6.1573 c=6.1573 alpha=90.00 beta=90.00 gamma=90.00
With the nearest neighbours (Å) after each atom.
Space group Pm-3m (No. 221)
Asymmetric unit:
1 Rb 0.0000 0.0000 0.0000 [1 per cell]  12 La 4.35
2 La 0.0000 0.5000 0.5000 [3 per cell]  2 I 3.08
3 I 0.5000 0.5000 0.5000 [1 per cell]  6 La 3.08

Distance to the lowest polymorph of the same formula ... 0 meV per atom
Total energy ... -3.365 eV per atom
Raw formation energy ... 46 kJ/mol of formula units
Spin magnetization ... 0.000 μB per cell

# 9
A plane-wave DFT calculation with PBE-GGA was carried out for a relaxed structure of LaTbIr.

Unit cell a=6.9691 b=6.9691 c=6.9691 alpha=90.00 beta=90.00 gamma=90.00
With the nearest neighbours (Å) after each atom.
Space group F-43m (No. 216)
Asymmetric unit:
1 La 0.0000 0.0000 0.0000 [4 per cell]  4 Ir 3.02
2 Tb 0.0000 0.0000 0.5000 [4 per cell]  4 Ir 3.02
3 Ir 0.2500 0.2500 0.2500 [4 per cell]  4 Tb 3.02, 4 La 3.02

Distance to the lowest polymorph of the same formula ... 53 meV per atom
Energy of formation from the pure elements ... -593 meV/atom
Total energy ... -6.733 eV per atom
Spin magnetization ... 0.000 μB per cell

# 10
A plane-wave DFT calculation with PBE-GGA was carried out for a relaxed structure of AgAsAu.

Unit cell a=4.1360 b=4.1515 c=12.9152 alpha=90.00 beta=90.00 gamma=90.00
With the nearest neighbours (Å) after each atom.
Space group Fmm2 (No. 42)
Asymmetric unit:
1 Ag 0.0000 0.0000 0.0000 [4 per cell]  4 Ag 2.93, 4 Au 2.96, 4 As 2.99
2 As 0.0000 0.0000 0.6669 [4 per cell]  4 As 2.93, 4 Ag 2.99, 4 Au 3.01-3.02
3 Au 0.0000 0.0000 0.3365 [4 per cell]  4 Au 2.93, 4 Ag 2.96, 4 As 3.01-3.02

Distance to the lowest polymorph of the same formula ... 0 meV per atom
Energy of formation from the pure elements ... 123 meV/atom
Total energy ... -3.470 eV per atom
Spin magnetization ... 0.000 μB per cell

# 11
A plane-wave DFT calculation with PBE-GGA was carried out for a relaxed structure of KTlAs2.

Unit cell a=4.5471 b=4.5471 c=4.9666 alpha=90.00 beta=90.00 gamma=90.00
With the nearest neighbours (Å) after each atom.
Space group P4/mmm (No. 123)
Asymmetric unit:
1 K 0.0000 0.0000 0.0000 [1 per cell]  4 Tl 3.22, 8 As 3.37
2 Tl 0.5000 0.5000 0.0000 [1 per cell]  4 K 3.22, 8 As 3.37
3 As 0.0000 0.5000 0.5000 [2 per cell]  4 As 3.22, 4 Tl 3.37, 4 K 3.37

Distance to the lowest polymorph of the same formula ... 328 meV per atom
Energy of formation from the pure elements ... 88 meV/atom
Total energy ... -3.103 eV per atom
Spin magnetization ... 0.000 μB per cell

# 12
A plane-wave DFT calculation with PBE-GGA was carried out for a relaxed structure of Pr2ZrC2Cl2.

Unit cell a=4.4490 b=4.4490 c=14.7581 alpha=90.00 beta=90.00 gamma=90.00
With the nearest neighbours (Å) after each atom.
Space group I4/mmm (No. 139)
Asymmetric unit:
1 Pr 0.0000 0.0000 0.1043 [4 per cell]  4 C 2.71
2 Zr 0.0000 0.0000 0.5000 [2 per cell]  4 C 2.22
3 C 0.0000 0.5000 0.0000 [4 per cell]  2 Zr 2.22
4 Cl 0.0000 0.0000 0.3119 [4 per cell]  1 Zr 2.78, 1 Pr 3.06

Total energy ... -6.668 eV per atom
Raw formation energy ... -621 kJ/mol of formula units
Spin magnetization ... 0.000 μB per cell

# 13
A plane-wave DFT calculation with PBE-GGA was carried out for a relaxed structure of SmHo7.

Unit cell a=9.9883 b=9.9883 c=9.9883 alpha=90.00 beta=90.00 gamma=90.00
With the nearest neighbours (Å) after each atom.
Space group Fm-3m (No. 225)
Asymmetric unit:
1 Sm 0.0000 0.0000 0.0000 [4 per cell]  12 Ho 3.53
2 Ho 0.0000 0.0000 0.5000 [4 per cell]  12 Ho 3.53
3 Ho 0.0000 0.2500 0.2500 [24 per cell]  10 Ho 3.53, 2 Sm 3.53

Energy of formation from the pure elements ... 20 meV/atom
Total energy ... -4.576 eV per atom
Spin magnetization ... 0.002 μB per cell

# 14
A plane-wave DFT calculation with PBE-GGA was carried out for a relaxed structure of PmLu.

Unit cell a=4.0050 b=4.0050 c=4.0050 alpha=90.00 beta=90.00 gamma=90.00
With the nearest neighbours (Å) after each atom.
Space group Pm-3m (No. 221)
Asymmetric unit:
1 Pm 0.0000 0.0000 0.0000 [1 per cell]  8 Lu 3.47
2 Lu 0.5000 0.5000 0.5000 [1 per cell]  8 Pm 3.47

Distance to the lowest polymorph of the same formula ... 70 meV per atom
Energy of formation from the pure elements ... 84 meV/atom
Total energy ... -4.552 eV per atom
Spin magnetization ... 0.000 μB per cell

# 15
A plane-wave DFT calculation with PBE-GGA was carried out for a relaxed structure of SmDy5Al6.

Unit cell a=5.0998 b=7.2424 c=8.0641 alpha=90.00 beta=108.29 gamma=90.00
With the nearest neighbours (Å) after each atom.
Space group P2/m (No. 10)
Asymmetric unit:
1 Sm 0.0000 0.0000 0.0000 [1 per cell]  8 Al 3.14-3.17
2 Dy 0.0000 0.5000 0.0000 [1 per cell]  8 Al 3.12-3.14
3 Dy 0.3327 0.0000 0.6654 [2 per cell]  8 Al 3.12-3.15
4 Dy 0.3349 0.5000 0.6697 [2 per cell]  8 Al 3.10-3.11
5 Al 0.1683 0.2535 0.3368 [4 per cell]  7 Dy 3.11-3.14, 1 Sm 3.17
6 Al 0.5000 0.2524 0.0000 [2 per cell]  6 Dy 3.10-3.15, 2 Sm 3.14

Energy of formation from the pure elements ... -393 meV/atom
Total energy ... -4.575 eV per atom
Spin magnetization ... 0.000 μB per cell